BeZn2Se | GGA-PBE | relaxed

Geometry as POSCAR:
```
BeZn2Se
1.0
3.4747 0.0000 0.0000
0.0000 5.4664 0.0000
0.0000 0.0000 7.5445
Be Zn Se
2 4 2
Cartesian
0.0000 0.0000 0.0000
1.7374 2.7332 0.0000
0.0000 0.0000 3.7626
0.0000 2.7332 1.7985
1.7374 0.0000 1.7985
1.7374 2.7332 3.7626
0.0000 2.7332 6.2835
1.7374 0.0000 6.2835
```

Values from the calculation:
- formation energy (no corrections) (eV/atom) = 0.244
- calculated volume (Å³ per atom) = 17.91
- offset from the most stable computed form (eV per formula unit) = 1.03
- final energy (eV per atom) = -2.195
- DOS at the Fermi energy (states/eV/f.u.) = 1.78
- total moment (μB per formula unit) = 0.00

BeZnSe | GGA-PBE | relaxed

Geometry as POSCAR:
```
BeZnSe
1.0
3.3386 0.0000 0.0000
0.0000 3.3386 0.0000
0.0000 0.0000 10.7587
Be Zn Se
2 2 2
Cartesian
0.0000 0.0000 0.0000
1.6693 1.6693 5.3794
0.0000 0.0000 8.4777
1.6693 1.6693 3.0983
0.0000 0.0000 5.9574
1.6693 1.6693 0.5780
```

Values from the calculation:
- formation energy (no corrections) (eV/atom) = 0.075
- calculated volume (Å³ per atom) = 19.99
- offset from the most stable computed form (eV per formula unit) = 0.48
- final energy (eV per atom) = -2.753
- DOS at the Fermi energy (states/eV/f.u.) = 0.38
- total moment (μB per formula unit) = 0.00

Be2ZnSe3 | GGA-PBE | relaxed

Geometry as POSCAR:
```
Be2ZnSe3
1.0
3.2792 -5.6990 0.0000
3.2792 5.6990 0.0000
-2.1390 0.0000 6.1844
Be Zn Se
4 2 6
Cartesian
2.2097 4.7498 3.0922
1.1277 2.9026 6.1795
2.1972 -2.9026 3.0873
3.2792 -4.7498 0.0000
2.2078 0.9878 3.0969
3.2773 -0.9878 0.0047
1.0374 2.9992 3.9064
2.1293 1.0945 0.6551
1.0598 -1.0945 3.7473
2.1069 -2.9992 0.8142
4.5278 0.9294 3.9195
5.5973 -0.9294 0.8273
```

Values from the calculation:
- formation energy (no corrections) (eV/atom) = -0.757
- calculated volume (Å³ per atom) = 19.26
- final energy (eV per atom) = -3.954
- DOS at the Fermi energy (states/eV/f.u.) = 0.00
- total moment (μB per formula unit) = 0.00

BeZn2Se | GGA-PBE | relaxed

Geometry as POSCAR:
```
BeZn2Se
1.0
2.6907 0.0000 0.0000
0.0000 3.3813 0.0000
0.0000 0.0000 7.2171
Be Zn Se
1 2 1
Cartesian
0.0000 0.0000 0.0000
0.0000 0.0000 3.2413
1.3454 1.6906 1.4988
0.0000 1.6906 5.7410
```

Values from the calculation:
- formation energy (no corrections) (eV/atom) = 0.094
- calculated volume (Å³ per atom) = 16.42
- offset from the most stable computed form (eV per formula unit) = 0.42
- final energy (eV per atom) = -2.346
- DOS at the Fermi energy (states/eV/f.u.) = 1.25
- total moment (μB per formula unit) = 0.00

BeZnSe | GGA-PBE | relaxed

Geometry as POSCAR:
```
BeZnSe
1.0
3.4791 0.0000 0.0000
0.0000 5.8104 0.0000
0.0000 0.0000 10.9678
Be Zn Se
4 4 4
Cartesian
0.0000 0.0000 0.0000
0.0000 2.9052 5.4839
1.7395 0.0000 5.4839
1.7395 2.9052 0.0000
0.0000 0.0000 7.2810
0.0000 2.9052 1.7971
1.7395 0.0000 1.7971
1.7395 2.9052 7.2810
0.0000 0.0000 4.2463
0.0000 2.9052 9.7302
1.7395 0.0000 9.7302
1.7395 2.9052 4.2463
```

Values from the calculation:
- formation energy (no corrections) (eV/atom) = 0.212
- calculated volume (Å³ per atom) = 18.48
- offset from the most stable computed form (eV per formula unit) = 0.89
- final energy (eV per atom) = -2.616
- DOS at the Fermi energy (states/eV/f.u.) = 0.60
- total moment (μB per formula unit) = 0.00

BeZn4Se | GGA-PBE | relaxed

Geometry as POSCAR:
```
BeZn4Se
1.0
0.0000 3.6473 3.6473
3.6473 0.0000 3.6473
3.6473 3.6473 0.0000
Be Zn Se
1 4 1
Cartesian
0.0000 0.0000 0.0000
2.7307 2.7307 2.7307
4.5638 4.5638 2.7307
4.5638 2.7307 4.5638
2.7307 4.5638 4.5638
5.4709 5.4709 5.4709
```

Values from the calculation:
- formation energy (no corrections) (eV/atom) = 0.409
- calculated volume (Å³ per atom) = 16.17
- final energy (eV per atom) = -1.642
- DOS at the Fermi energy (states/eV/f.u.) = 3.73
- total moment (μB per formula unit) = 0.00

- Which value of final energy does entry 5 give?
  -2.616 eV per atom